[1]
# CsK2ZnCu | the Alexandria database | PBE-GGA | relaxed
# total moment = 0.00 μB per cell
# formation energy from the elements = 369 kJ/mol of formula units
# VASP energy = -4.60 eV/f.u.
data_CsK2ZnCu
_chemical_formula_sum 'Cs1 K2 Zn1 Cu1'
_cell_length_a 8.168
_cell_length_b 8.168
_cell_length_c 6.306
_cell_angle_alpha 90.00
_cell_angle_beta 90.00
_cell_angle_gamma 90.00
_symmetry_space_group_name_H-M 'P 1'
_symmetry_Int_Tables_number 1
loop_
_symmetry_equiv_pos_as_xyz
'x,y,z'
loop_
_atom_site_label
_atom_site_type_symbol
_atom_site_fract_x
_atom_site_fract_y
_atom_site_fract_z
_atom_site_occupancy
Cs1 Cs 0.000 0.000 0.000 1
K1 K 0.000 0.500 0.000 1
K2 K 0.500 0.000 0.000 1
Zn1 Zn 0.500 0.500 0.500 1
Cu1 Cu 0.000 0.000 0.500 1

---

[2]
# Hf6B2C | the Alexandria database | PBE-GGA | relaxed
# total moment = 0.00 μB per cell
# formation energy from the elements = -356 kJ/mol of formula units
# VASP energy = -85.99 eV/f.u.
data_Hf6B2C
_chemical_formula_sum 'Hf12 B4 C2'
_cell_length_a 5.509
_cell_length_b 5.509
_cell_length_c 10.408
_cell_angle_alpha 90.00
_cell_angle_beta 90.00
_cell_angle_gamma 90.00
_symmetry_space_group_name_H-M 'P 1'
_symmetry_Int_Tables_number 1
loop_
_symmetry_equiv_pos_as_xyz
'x,y,z'
loop_
_atom_site_label
_atom_site_type_symbol
_atom_site_fract_x
_atom_site_fract_y
_atom_site_fract_z
_atom_site_occupancy
Hf1 Hf 0.200 0.200 0.160 1
Hf2 Hf 0.200 0.200 0.840 1
Hf3 Hf 0.204 0.204 0.500 1
Hf4 Hf 0.296 0.704 0.000 1
Hf5 Hf 0.300 0.700 0.340 1
Hf6 Hf 0.300 0.700 0.660 1
Hf7 Hf 0.700 0.300 0.340 1
Hf8 Hf 0.700 0.300 0.660 1
Hf9 Hf 0.704 0.296 0.000 1
Hf10 Hf 0.796 0.796 0.500 1
Hf11 Hf 0.800 0.800 0.160 1
Hf12 Hf 0.800 0.800 0.840 1
B1 B 0.000 0.000 0.331 1
B2 B 0.000 0.000 0.669 1
B3 B 0.500 0.500 0.169 1
B4 B 0.500 0.500 0.831 1
C1 C 0.000 0.000 0.000 1
C2 C 0.500 0.500 0.500 1

---

[3]
# YMg2Sc | the Alexandria database | PBE-GGA | relaxed
# energy above the most stable polymorph in this dataset = 0.114 eV per atom
# total moment = 0.41 μB per cell
# formation energy from the elements = 17 kJ/mol of formula units
# VASP energy = -15.80 eV/f.u.
data_YMg2Sc
_chemical_formula_sum 'Y1 Mg2 Sc1'
_cell_length_a 11.052
_cell_length_b 11.052
_cell_length_c 11.052
_cell_angle_alpha 17.32
_cell_angle_beta 17.32
_cell_angle_gamma 17.32
_symmetry_space_group_name_H-M 'P 1'
_symmetry_Int_Tables_number 1
loop_
_symmetry_equiv_pos_as_xyz
'x,y,z'
loop_
_atom_site_label
_atom_site_type_symbol
_atom_site_fract_x
_atom_site_fract_y
_atom_site_fract_z
_atom_site_occupancy
Y1 Y 0.000 0.000 0.000 1
Mg1 Mg 0.502 0.502 0.502 1
Mg2 Mg 0.754 0.754 0.754 1
Sc1 Sc 0.249 0.249 0.249 1

---

[4]
# SmYHoIn | the Alexandria database | PBE-GGA | relaxed
# energy above the most stable polymorph in this dataset = 0.000 eV per atom
# total moment = 0.60 μB per cell
# formation energy from the elements = -104 kJ/mol of formula units
# VASP energy = -19.58 eV/f.u.
data_SmYHoIn
_chemical_formula_sum 'Sm1 Y1 Ho1 In1'
_cell_length_a 4.848
_cell_length_b 4.866
_cell_length_c 4.912
_cell_angle_alpha 90.00
_cell_angle_beta 90.00
_cell_angle_gamma 90.00
_symmetry_space_group_name_H-M 'P 1'
_symmetry_Int_Tables_number 1
loop_
_symmetry_equiv_pos_as_xyz
'x,y,z'
loop_
_atom_site_label
_atom_site_type_symbol
_atom_site_fract_x
_atom_site_fract_y
_atom_site_fract_z
_atom_site_occupancy
Sm1 Sm 0.000 0.000 0.000 1
Y1 Y 0.500 0.000 0.500 1
Ho1 Ho 0.500 0.500 0.000 1
In1 In 0.000 0.500 0.500 1

---

[5]
# Cd2PdAu2 | the Alexandria database | PBE-GGA | relaxed
# energy above the most stable polymorph in this dataset = 0.000 eV per atom
# total moment = 0.00 μB per cell
# formation energy from the elements = -112 kJ/mol of formula units
# VASP energy = -14.74 eV/f.u.
data_Cd2PdAu2
_chemical_formula_sum 'Cd4 Pd2 Au4'
_cell_length_a 5.651
_cell_length_b 5.651
_cell_length_c 7.659
_cell_angle_alpha 110.94
_cell_angle_beta 110.94
_cell_angle_gamma 54.93
_symmetry_space_group_name_H-M 'P 1'
_symmetry_Int_Tables_number 1
loop_
_symmetry_equiv_pos_as_xyz
'x,y,z'
loop_
_atom_site_label
_atom_site_type_symbol
_atom_site_fract_x
_atom_site_fract_y
_atom_site_fract_z
_atom_site_occupancy
Cd1 Cd 0.041 0.343 0.145 1
Cd2 Cd 0.343 0.041 0.645 1
Cd3 Cd 0.657 0.959 0.355 1
Cd4 Cd 0.959 0.657 0.855 1
Pd1 Pd 0.172 0.828 0.250 1
Pd2 Pd 0.828 0.172 0.750 1
Au1 Au 0.239 0.559 0.549 1
Au2 Au 0.441 0.761 0.951 1
Au3 Au 0.559 0.239 0.049 1
Au4 Au 0.761 0.441 0.451 1

---

[6]
# TaSiRu2Cl | the Alexandria database | PBE-GGA | relaxed
# total moment = 0.00 μB per cell
# VASP energy = -31.39 eV/f.u.
# E_form (uncorrected) = 1.257 eV/atom
data_TaSiRu2Cl
_chemical_formula_sum 'Ta1 Si1 Ru2 Cl1'
_cell_length_a 4.806
_cell_length_b 4.806
_cell_length_c 4.608
_cell_angle_alpha 90.00
_cell_angle_beta 90.00
_cell_angle_gamma 90.00
_symmetry_space_group_name_H-M 'P 1'
_symmetry_Int_Tables_number 1
loop_
_symmetry_equiv_pos_as_xyz
'x,y,z'
loop_
_atom_site_label
_atom_site_type_symbol
_atom_site_fract_x
_atom_site_fract_y
_atom_site_fract_z
_atom_site_occupancy
Ta1 Ta 0.000 0.000 0.000 1
Si1 Si 0.500 0.500 0.500 1
Ru1 Ru 0.000 0.500 0.000 1
Ru2 Ru 0.500 0.000 0.000 1
Cl1 Cl 0.000 0.000 0.500 1

---

[7]
# LaMnOs2 | the Alexandria database | PBE-GGA | relaxed
# energy above the most stable polymorph in this dataset = 0.096 eV per atom
# total moment = 2.90 μB per cell
# formation energy from the elements = 145 kJ/mol of formula units
# VASP energy = -35.06 eV/f.u.
data_LaMnOs2
_chemical_formula_sum 'La1 Mn1 Os2'
_cell_length_a 4.969
_cell_length_b 4.969
_cell_length_c 5.487
_cell_angle_alpha 103.87
_cell_angle_beta 103.87
_cell_angle_gamma 35.89
_symmetry_space_group_name_H-M 'P 1'
_symmetry_Int_Tables_number 1
loop_
_symmetry_equiv_pos_as_xyz
'x,y,z'
loop_
_atom_site_label
_atom_site_type_symbol
_atom_site_fract_x
_atom_site_fract_y
_atom_site_fract_z
_atom_site_occupancy
La1 La 0.000 0.000 0.000 1
Mn1 Mn 0.212 0.212 0.672 1
Os1 Os 0.489 0.489 0.474 1
Os2 Os 0.761 0.761 0.358 1

---

[8]
# LaTa2Rh2 | the Alexandria database | PBE-GGA | relaxed
# energy above the most stable polymorph in this dataset = 0.264 eV per atom
# total moment = 0.00 μB per cell
# formation energy from the elements = -73 kJ/mol of formula units
# VASP energy = -44.09 eV/f.u.
data_LaTa2Rh2
_chemical_formula_sum 'La1 Ta2 Rh2'
_cell_length_a 6.045
_cell_length_b 6.045
_cell_length_c 6.045
_cell_angle_alpha 135.15
_cell_angle_beta 135.15
_cell_angle_gamma 65.30
_symmetry_space_group_name_H-M 'P 1'
_symmetry_Int_Tables_number 1
loop_
_symmetry_equiv_pos_as_xyz
'x,y,z'
loop_
_atom_site_label
_atom_site_type_symbol
_atom_site_fract_x
_atom_site_fract_y
_atom_site_fract_z
_atom_site_occupancy
La1 La 0.000 0.000 0.000 1
Ta1 Ta 0.363 0.363 0.000 1
Ta2 Ta 0.637 0.637 0.000 1
Rh1 Rh 0.250 0.750 0.500 1
Rh2 Rh 0.750 0.250 0.500 1

---

[9]
# La5Tb2NdTh | the Alexandria database | PBE-GGA | relaxed
# total moment = 0.00 μB per cell
# formation energy from the elements = 112 kJ/mol of formula units
# VASP energy = -44.93 eV/f.u.
data_La5Tb2NdTh
_chemical_formula_sum 'La10 Tb4 Nd2 Th2'
_cell_length_a 11.339
_cell_length_b 11.339
_cell_length_c 10.668
_cell_angle_alpha 90.00
_cell_angle_beta 90.00
_cell_angle_gamma 151.71
_symmetry_space_group_name_H-M 'P 1'
_symmetry_Int_Tables_number 1
loop_
_symmetry_equiv_pos_as_xyz
'x,y,z'
loop_
_atom_site_label
_atom_site_type_symbol
_atom_site_fract_x
_atom_site_fract_y
_atom_site_fract_z
_atom_site_occupancy
La1 La 0.000 0.000 0.000 1
La2 La 0.000 0.000 0.500 1
La3 La 0.127 0.873 0.750 1
La4 La 0.223 0.777 0.443 1
La5 La 0.224 0.776 0.059 1
La6 La 0.497 0.503 0.250 1
La7 La 0.503 0.497 0.750 1
La8 La 0.776 0.224 0.559 1
La9 La 0.777 0.223 0.943 1
La10 La 0.873 0.127 0.250 1
Tb1 Tb 0.387 0.613 0.508 1
Tb2 Tb 0.387 0.613 0.992 1
Tb3 Tb 0.613 0.387 0.008 1
Tb4 Tb 0.613 0.387 0.492 1
Nd1 Nd 0.101 0.899 0.250 1
Nd2 Nd 0.899 0.101 0.750 1
Th1 Th 0.285 0.715 0.751 1
Th2 Th 0.715 0.285 0.251 1

---

[10]
# Th2Ge4RhAu3 | the Alexandria database | PBE-GGA | relaxed
# total moment = 0.00 μB per cell
# formation energy from the elements = -518 kJ/mol of formula units
# VASP energy = -55.86 eV/f.u.
data_Th2Ge4RhAu3
_chemical_formula_sum 'Th2 Ge4 Rh1 Au3'
_cell_length_a 4.394
_cell_length_b 4.394
_cell_length_c 10.584
_cell_angle_alpha 90.00
_cell_angle_beta 90.00
_cell_angle_gamma 90.00
_symmetry_space_group_name_H-M 'P 1'
_symmetry_Int_Tables_number 1
loop_
_symmetry_equiv_pos_as_xyz
'x,y,z'
loop_
_atom_site_label
_atom_site_type_symbol
_atom_site_fract_x
_atom_site_fract_y
_atom_site_fract_z
_atom_site_occupancy
Th1 Th 0.000 0.500 0.236 1
Th2 Th 0.500 0.000 0.764 1
Ge1 Ge 0.000 0.000 0.500 1
Ge2 Ge 0.000 0.500 0.875 1
Ge3 Ge 0.500 0.000 0.125 1
Ge4 Ge 0.500 0.500 0.500 1
Rh1 Rh 0.500 0.500 0.000 1
Au1 Au 0.000 0.000 0.000 1
Au2 Au 0.000 0.500 0.639 1
Au3 Au 0.500 0.000 0.361 1

---

[11]
# ReTcPt2 | the Alexandria database | PBE-GGA | relaxed
# energy above the most stable polymorph in this dataset = 0.053 eV per atom
# total moment = 0.00 μB per cell
# formation energy from the elements = -33 kJ/mol of formula units
# VASP energy = -35.23 eV/f.u.
data_ReTcPt2
_chemical_formula_sum 'Re1 Tc1 Pt2'
_cell_length_a 4.764
_cell_length_b 4.764
_cell_length_c 4.764
_cell_angle_alpha 131.04
_cell_angle_beta 131.04
_cell_angle_gamma 71.75
_symmetry_space_group_name_H-M 'P 1'
_symmetry_Int_Tables_number 1
loop_
_symmetry_equiv_pos_as_xyz
'x,y,z'
loop_
_atom_site_label
_atom_site_type_symbol
_atom_site_fract_x
_atom_site_fract_y
_atom_site_fract_z
_atom_site_occupancy
Re1 Re 0.000 0.000 0.000 1
Tc1 Tc 0.250 0.750 0.500 1
Pt1 Pt 0.500 0.500 0.000 1
Pt2 Pt 0.750 0.250 0.500 1

---

[12]
# GaPS2I | the Alexandria database | PBE-GGA | relaxed
# energy above the most stable polymorph in this dataset = 0.000 eV per atom
# total moment = 0.00 μB per cell
# VASP energy = -15.16 eV/f.u.
# E_form (uncorrected) = 0.617 eV/atom
data_GaPS2I
_chemical_formula_sum 'Ga1 P1 S2 I1'
_cell_length_a 4.639
_cell_length_b 4.639
_cell_length_c 5.165
_cell_angle_alpha 90.00
_cell_angle_beta 90.00
_cell_angle_gamma 90.00
_symmetry_space_group_name_H-M 'P 1'
_symmetry_Int_Tables_number 1
loop_
_symmetry_equiv_pos_as_xyz
'x,y,z'
loop_
_atom_site_label
_atom_site_type_symbol
_atom_site_fract_x
_atom_site_fract_y
_atom_site_fract_z
_atom_site_occupancy
Ga1 Ga 0.000 0.000 0.000 1
P1 P 0.000 0.000 0.500 1
S1 S 0.000 0.500 0.000 1
S2 S 0.500 0.000 0.000 1
I1 I 0.500 0.500 0.500 1